Entry 1:
# RbB2Se2

An optimized crystal structure of RbB2Se2 (GGA-PBEsol, Alexandria).

Properties
calculated density = 4220 kg/m³
crystal system = tetragonal
polymorph energy (0 for the lowest one) = 123.7 kJ/mol of formula units
DOS at the Fermi energy = 0.3456 states/eV per atom
uncorrected formation energy = 852 meV/atom

a b c (Å): 7.4156 7.4156 3.7923
angles (deg): 90.00 90.00 90.00
With the nearest neighbours (Å) after each atom.
Space group P4/mbm (No. 127)
Asymmetric unit:
Rb (0.0000, 0.0000, 0.0000) x2  4 B 3.18, 8 Se 3.51
B (0.0788, 0.4212, 0.0000) x4  1 B 1.65
Se (0.1198, 0.6198, 0.5000) x4  4 B 2.42, 1 Se 2.51

---

Entry 2:
# Rb4B9Se9

An optimized crystal structure of Rb4B9Se9 (GGA-PBEsol, Alexandria).

Properties
calculated density = 3550 kg/m³
crystal system = triclinic
DOS at the Fermi energy = 0.0000 states/eV per atom
uncorrected formation energy = -565 meV/atom

a b c (Å): 10.3865 10.5314 10.8049
angles (deg): 91.39 103.59 109.58
With the nearest neighbours (Å) after each atom.
Space group P-1 (No. 2)
Asymmetric unit:
Rb (0.1115, 0.3737, 0.1325) x2  7 Se 3.46-3.57, 3 B 3.48-3.78
Rb (0.1342, 0.0022, 0.3656) x2  7 Se 3.46-3.75, 3 B 3.58-3.81
Rb (0.2517, 0.6329, 0.4754) x2  8 Se 3.41-3.80, 2 B 3.61-3.71
Rb (0.3397, 0.3814, 0.7334) x2  8 Se 3.58-3.96, 1 B 3.79
B (0.1358, 0.8194, 0.6842) x2  3 Se 1.91-1.99
B (0.1600, 0.7573, 0.1460) x2  3 Se 1.91-1.99
B (0.3360, 0.9671, 0.0183) x2  5 B 1.76-1.78
B (0.3736, 0.8608, 0.9137) x2  5 B 1.76-1.77
B (0.3797, 0.0251, 0.8756) x2  5 B 1.77-1.79
B (0.4188, 0.2564, 0.2607) x2  3 Se 1.90-1.99
B (0.4385, 0.8671, 0.0818) x2  5 B 1.77-1.79
B (0.4516, 0.1362, 0.0219) x2  5 B 1.77-1.79
B (0.4878, 0.0372, 0.1474) x2  5 B 1.76-1.78
Se (0.0073, 0.6455, 0.2079) x2  1 B 1.91
Se (0.0247, 0.2614, 0.4576) x2  1 B 1.91
Se (0.1452, 0.9122, 0.0517) x2  2 B 1.97-1.99
Se (0.2179, 0.7074, 0.7986) x2  2 B 1.97-1.99
Se (0.2254, 0.0201, 0.7219) x2  2 B 1.99-2.00
Se (0.3386, 0.7184, 0.1741) x2  2 B 1.99-2.00
Se (0.3917, 0.3728, 0.3818) x2  1 B 1.90
Se (0.4032, 0.2930, 0.0790) x2  2 B 1.99-2.00
Se (0.4696, 0.0982, 0.3161) x2  2 B 1.97-1.99

---

Entry 3:
# RbB2Se2

An optimized crystal structure of RbB2Se2 (GGA-PBEsol, Alexandria).

Properties
calculated density = 5238 kg/m³
crystal system = tetragonal
polymorph energy (0 for the lowest one) = 0.0 kJ/mol of formula units
DOS at the Fermi energy = 0.2913 states/eV per atom
uncorrected formation energy = 595 meV/atom

a b c (Å): 4.6050 4.6050 7.9233
angles (deg): 90.00 90.00 90.00
With the nearest neighbours (Å) after each atom.
Space group I4/mmm (No. 139)
Asymmetric unit:
Rb (0.0000, 0.0000, 0.0000) x2  10 B 3.03-3.39, 8 Se 3.04
B (0.0000, 0.0000, 0.3818) x4  1 B 1.87
Se (0.0000, 0.5000, 0.2500) x4  4 B 2.53

---

Entry 4:
# Rb2B2Se7

An optimized crystal structure of Rb2B2Se7 (GGA-PBEsol, Alexandria).

Properties
calculated density = 4048 kg/m³
crystal system = monoclinic
DOS at the Fermi energy = 0.0000 states/eV per atom
uncorrected formation energy = -506 meV/atom

a b c (Å): 15.8004 7.2781 12.5206
angles (deg): 90.00 121.86 90.00
With the nearest neighbours (Å) after each atom.
Space group C2/c (No. 15)
Asymmetric unit:
Rb (0.1036, 0.2241, 0.0203) x8  9 Se 3.41-3.82
B (0.1164, 0.2690, 0.3476) x8  4 Se 2.04-2.07
Se (0.0000, 0.4517, 0.2500) x4  2 B 2.07
Se (0.0818, 0.0136, 0.2677) x8  1 B 2.04
Se (0.1292, 0.2975, 0.5173) x8  1 B 2.04
Se (0.2282, 0.3780, 0.3322) x8  1 B 2.04

---

- Which of these has the highest DOS at the Fermi energy?
  number 1